[1]
First-principles (PBE-GGA) data for crystalline GdEr2Pu at its relaxed geometry, as listed in Alexandria via LeMat-Bulk.

POSCAR file:
```
GdEr2Pu
1.0
3.687 0.000 0.000
0.000 5.742 0.000
0.000 0.000 5.742
Gd Er Pu
1 2 1
Direct
0.500 0.000 0.000 Gd
0.000 0.000 0.500 Er
0.000 0.500 0.000 Er
0.500 0.500 0.500 Pu
```

Summary:
Symmetry: P4/mmm
Fermi-level density of states, states/eV/f.u.: 13.88
Uncorrected energy, eV/cell: -36.8

[2]
First-principles (PBE-GGA) data for crystalline GdErPu4 at its relaxed geometry, as listed in Alexandria via LeMat-Bulk.

POSCAR file:
```
GdErPu4
1.0
-3.961 3.924 -2.679
-6.060 -1.240 0.001
-3.846 3.370 3.481
Gd Er Pu
1 1 4
Direct
0.250 0.250 0.250 Gd
0.000 0.000 0.000 Er
0.625 0.625 0.125 Pu
0.625 0.125 0.625 Pu
0.625 0.625 0.625 Pu
0.125 0.625 0.625 Pu
```

Summary:
Symmetry: F-43m
Fermi-level density of states, states/eV/f.u.: 30.10
Uncorrected energy, eV/cell: -74.5

[3]
First-principles (PBE-GGA) data for crystalline GdEr2Pu at its relaxed geometry, as listed in Alexandria via LeMat-Bulk.

POSCAR file:
```
GdEr2Pu
1.0
-4.580 -2.846 1.338
0.250 -5.509 0.672
-0.518 -2.206 5.073
Gd Er Pu
1 2 1
Direct
0.500 0.500 0.500 Gd
0.250 0.250 0.250 Er
0.750 0.750 0.750 Er
0.000 0.000 0.000 Pu
```

Summary:
Symmetry: Fm-3m
Fermi-level density of states, states/eV/f.u.: 9.96
Uncorrected energy, eV/cell: -36.8

[4]
First-principles (PBE-GGA) data for crystalline SmGdErPu at its relaxed geometry, as listed in Alexandria via LeMat-Bulk.

POSCAR file:
```
SmGdErPu
1.0
5.615 0.000 0.000
2.807 4.862 0.000
2.807 1.621 4.584
Gd Er Sm Pu
1 1 1 1
Direct
0.750 0.750 0.750 Gd
0.000 0.000 0.000 Er
0.250 0.250 0.250 Sm
0.500 0.500 0.500 Pu
```

Summary:
Symmetry: F-43m
Fermi-level density of states, states/eV/f.u.: 11.52
Uncorrected energy, eV/cell: -36.9

[5]
First-principles (PBE-GGA) data for crystalline TbGdErPu at its relaxed geometry, as listed in Alexandria via LeMat-Bulk.

POSCAR file:
```
TbGdErPu
1.0
5.584 0.000 0.000
2.792 4.836 0.000
2.792 1.612 4.559
Gd Er Tb Pu
1 1 1 1
Direct
0.250 0.250 0.250 Gd
0.000 0.000 0.000 Er
0.750 0.750 0.750 Tb
0.500 0.500 0.500 Pu
```

Summary:
Symmetry: F-43m
Fermi-level density of states, states/eV/f.u.: 10.78
Uncorrected energy, eV/cell: -36.9

[6]
First-principles (PBE-GGA) data for crystalline GdErPuTh at its relaxed geometry, as listed in Alexandria via LeMat-Bulk.

POSCAR file:
```
GdErPuTh
1.0
5.565 0.000 0.000
2.782 4.819 0.000
2.782 1.606 4.544
Gd Er Th Pu
1 1 1 1
Direct
0.000 0.000 0.000 Gd
0.250 0.250 0.250 Er
0.500 0.500 0.500 Th
0.750 0.750 0.750 Pu
```

Summary:
Symmetry: F-43m
Fermi-level density of states, states/eV/f.u.: 12.94
Uncorrected energy, eV/cell: -39.6

Question: Which value of Fermi-level density of states does entry 5 give?
Answer: 10.78 states/eV/f.u.

Question: What is the uncorrected energy in the second record?
Answer: -74.5 eV/cell

Question: The highest Fermi-level density of states belongs to which entry?
Answer: GdErPu4